# 1
TbDy2Si2 after structural relaxation, computed with GGA-PBE.

The structure in POSCAR format:
```
TbDy2Si2
1.0
-3.311 -2.719 -0.546
1.132 -5.459 3.239
-5.150 1.238 7.990
Tb Dy Si
2 4 4
direct
0.781 0.081 0.358
0.219 0.919 0.642
0.318 0.278 0.087
0.484 0.345 0.688
0.682 0.722 0.913
0.516 0.655 0.312
0.974 0.155 0.898
0.111 0.339 0.439
0.026 0.845 0.102
0.889 0.661 0.561
```

## Properties
size of the total moment: 0.00 μB/cell
DOS(E_F): 5.97 states/eV/cell
formation energy (no corrections): -2.95 eV per formula unit
VASP energy: -5.5263 eV/atom

***

# 2
Tb3Dy3Si4 after structural relaxation, computed with GGA-PBE.

The structure in POSCAR format:
```
Tb3Dy3Si4
1.0
-3.238 -1.142 -2.470
-1.437 -5.780 4.558
-4.607 4.322 4.042
Tb Dy Si
3 3 4
direct
0.500 0.824 0.176
0.500 0.323 0.324
0.500 0.676 0.677
0.000 0.500 0.000
0.000 0.000 0.500
0.500 0.176 0.824
0.000 0.616 0.384
0.000 0.383 0.617
0.000 0.885 0.884
0.000 0.116 0.115
```

## Properties
size of the total moment: 0.00 μB/cell
DOS(E_F): 8.45 states/eV/cell
formation energy (no corrections): -7.04 eV per formula unit
VASP energy: -5.6432 eV/atom